# 1
The following is a meta-GGA SCAN calculation of a crystal of PmAs3 relaxed with PBEsol, from Alexandria.

Properties
Calculated formation energy ... -0.60 eV/atom
Offset from the most stable computed form ... 0.000 eV/atom

Cell: 4.3542 4.3542 4.3542 Å, 90.00 90.00 90.00°
Atoms (fractional coordinates):
1 As 0.0000 0.5000 0.5000
2 As 0.5000 0.0000 0.5000
3 As 0.5000 0.5000 0.0000
4 Pm 0.0000 0.0000 0.0000



# 2
The following is a meta-GGA SCAN calculation of a crystal of ZnH2Pt2 relaxed with PBEsol, from Alexandria.

Properties
Offset from the most stable computed form ... 0.199 eV/atom

Cell: 2.8073 6.4403 6.4403 Å, 90.00 90.00 90.00°
Atoms (fractional coordinates):
1 H 0.5000 0.2455 0.7455
2 H 0.5000 0.7455 0.7545
3 H 0.5000 0.7545 0.2545
4 H 0.5000 0.2545 0.2455
5 Zn 0.0000 0.0000 0.0000
6 Zn 0.0000 0.5000 0.5000
7 Pt 0.0000 0.3544 0.8544
8 Pt 0.0000 0.8544 0.6456
9 Pt 0.0000 0.6456 0.1456
10 Pt 0.0000 0.1456 0.3544



# 3
The following is a meta-GGA SCAN calculation of a crystal of GeHF2 relaxed with PBEsol, from Alexandria.

Properties
Offset from the most stable computed form ... 0.479 eV/atom

Cell: 3.9038 3.9038 3.9038 Å, 60.00 60.00 60.00°
Atoms (fractional coordinates):
1 H 0.0000 0.0000 0.0000
2 Ge 0.5000 0.5000 0.5000
3 F 0.2500 0.2500 0.2500
4 F 0.7500 0.7500 0.7500



# 4
The following is a meta-GGA SCAN calculation of a crystal of MnZn2 relaxed with PBEsol, from Alexandria.

Properties
Calculated formation energy ... -0.13 eV/atom

Cell: 3.7320 3.8183 5.8392 Å, 90.00 108.64 90.00°
Atoms (fractional coordinates):
1 Mn 0.4165 0.7500 0.8330
2 Mn 0.5835 0.2500 0.1670
3 Zn 0.0831 0.7500 0.1662
4 Zn 0.9169 0.2500 0.8338
5 Zn 0.7465 0.7500 0.4929
6 Zn 0.2535 0.2500 0.5071



# 5
The following is a meta-GGA SCAN calculation of a crystal of CoRhN2O relaxed with PBEsol, from Alexandria.

Properties
Energy relative to the elements, uncorrected ... 0.965 eV per atom

Cell: 3.5358 3.5358 3.7456 Å, 90.00 90.00 90.00°
Atoms (fractional coordinates):
1 Co 0.0000 0.0000 0.0000
2 Rh 0.5000 0.5000 0.5000
3 O 0.0000 0.0000 0.5000
4 N 0.0000 0.5000 0.0000
5 N 0.5000 0.0000 0.0000



# 6
The following is a meta-GGA SCAN calculation of a crystal of CsY3Mg relaxed with PBEsol, from Alexandria.

Properties
Calculated formation energy ... 1.17 eV/atom

Cell: 5.5576 5.5576 5.5576 Å, 90.00 90.00 90.00°
Atoms (fractional coordinates):
1 Cs 0.0000 0.0000 0.0000
2 Y 0.0000 0.5000 0.0000
3 Y 0.0000 0.0000 0.5000
4 Y 0.5000 0.0000 0.0000
5 Mg 0.5000 0.5000 0.5000



# 7
The following is a meta-GGA SCAN calculation of a crystal of Tc2Pb2Se relaxed with PBEsol, from Alexandria.

Properties
Energy relative to the elements, uncorrected ... 0.510 eV per atom

Cell: 3.5343 3.5343 8.9224 Å, 101.42 101.42 90.00°
Atoms (fractional coordinates):
1 Pb 0.6070 0.6070 0.2140
2 Pb 0.3930 0.3930 0.7860
3 Se 0.0000 0.0000 0.0000
4 Tc 0.2500 0.7500 0.5000
5 Tc 0.7500 0.2500 0.5000



# 8
The following is a meta-GGA SCAN calculation of a crystal of Ta2ReMo relaxed with PBEsol, from Alexandria.

Properties
Calculated formation energy ... 0.11 eV/atom
Offset from the most stable computed form ... 0.521 eV/atom

Cell: 3.0250 3.0250 8.5502 Å, 79.81 79.81 60.00°
Atoms (fractional coordinates):
1 Mo 0.5000 0.5000 0.5000
2 Re 0.0000 0.0000 0.0000
3 Ta 0.2504 0.2504 0.2487
4 Ta 0.7496 0.7496 0.7513



# 9
The following is a meta-GGA SCAN calculation of a crystal of LaSi2Ru relaxed with PBEsol, from Alexandria.

Properties
Energy relative to the elements, uncorrected ... -0.799 eV per atom

Cell: 4.0719 4.0739 5.7526 Å, 110.67 90.00 119.98°
Atoms (fractional coordinates):
1 Ru 0.5000 0.0000 0.0000
2 Si 0.7935 0.5870 0.8802
3 Si 0.2065 0.4130 0.1198
4 La 0.0000 0.0000 0.5000



# 10
The following is a meta-GGA SCAN calculation of a crystal of KCuIr relaxed with PBEsol, from Alexandria.

Properties
Calculated formation energy ... 1.43 eV/atom
Offset from the most stable computed form ... 0.000 eV/atom

Cell: 4.4735 4.4735 4.4735 Å, 60.00 60.00 60.00°
Atoms (fractional coordinates):
1 Cu 0.5000 0.5000 0.5000
2 Ir 0.2500 0.2500 0.2500
3 K 0.0000 0.0000 0.0000



# 11
The following is a meta-GGA SCAN calculation of a crystal of CrPdN2F relaxed with PBEsol, from Alexandria.

Properties
Energy relative to the elements, uncorrected ... 0.676 eV per atom

Cell: 3.8997 3.8997 4.0060 Å, 90.00 90.00 90.00°
Atoms (fractional coordinates):
1 Cr 0.5000 0.5000 0.5000
2 N 0.0000 0.5000 0.0000
3 N 0.5000 0.0000 0.0000
4 Pd 0.0000 0.0000 0.0000
5 F 0.0000 0.0000 0.5000



# 12
The following is a meta-GGA SCAN calculation of a crystal of SbPdPb3 relaxed with PBEsol, from Alexandria.

Properties
Energy relative to the elements, uncorrected ... 0.946 eV per atom

Cell: 5.6677 5.6677 5.6677 Å, 90.00 90.00 90.00°
Atoms (fractional coordinates):
1 Pb 0.0000 0.5000 0.0000
2 Pb 0.0000 0.0000 0.5000
3 Pb 0.5000 0.0000 0.0000
4 Sb 0.0000 0.0000 0.0000
5 Pd 0.5000 0.5000 0.5000